1.
Compound: NaGa11O18
Source: the Alexandria database
Functional: PBE-GGA
Structure: relaxed

Structure (POSCAR):
```
NaGa11O18
1.0
8.7054 0.0000 0.0000
0.0000 9.0700 0.0000
-4.1416 0.0000 8.6029
Na Ga O
2 22 36
direct
0.0272 0.2500 0.0650
0.9728 0.7500 0.9350
0.0069 0.7500 0.3636
0.0146 0.0852 0.3602
0.0146 0.4148 0.3602
0.2897 0.5780 0.2557
0.2897 0.9220 0.2557
0.3199 0.0759 0.9470
0.3199 0.4241 0.9470
0.3309 0.7500 0.9531
0.3521 0.2500 0.4608
0.3691 0.5760 0.6512
0.3691 0.9240 0.6512
0.6309 0.0760 0.3488
0.6309 0.4240 0.3488
0.6479 0.7500 0.5392
0.6691 0.2500 0.0469
0.6801 0.5759 0.0530
0.6801 0.9241 0.0530
0.7103 0.0780 0.7443
0.7103 0.4220 0.7443
0.9854 0.5852 0.6398
0.9854 0.9148 0.6398
0.9931 0.2500 0.6364
0.1045 0.0828 0.7643
0.1045 0.4172 0.7643
0.1117 0.7500 0.7737
0.1355 0.5849 0.5221
0.1355 0.9151 0.5221
0.1390 0.2500 0.5084
0.1846 0.7500 0.2787
0.2088 0.0935 0.3052
0.2088 0.4065 0.3052
0.2565 0.5844 0.0489
0.2565 0.9156 0.0489
0.2728 0.2500 0.0395
0.4187 0.5788 0.8640
0.4187 0.9212 0.8640
0.4239 0.2500 0.8888
0.4667 0.7500 0.6161
0.4733 0.0911 0.6188
0.4733 0.4089 0.6188
0.5267 0.5911 0.3812
0.5267 0.9089 0.3812
0.5333 0.2500 0.3839
0.5761 0.7500 0.1112
0.5813 0.0788 0.1360
0.5813 0.4212 0.1360
0.7272 0.7500 0.9605
0.7435 0.0844 0.9511
0.7435 0.4156 0.9511
0.7912 0.5935 0.6948
0.7912 0.9065 0.6948
0.8154 0.2500 0.7213
0.8610 0.7500 0.4916
0.8645 0.0849 0.4779
0.8645 0.4151 0.4779
0.8883 0.2500 0.2263
0.8955 0.5828 0.2357
0.8955 0.9172 0.2357
```

Its mass density is 5.3 Mg/m³. Its magnetic moment is 4.4 μB/cell. Its final energy is -0.21481 Ha/atom. For the uncorrected formation energy, the calculation gives -4968 kJ/mol of formula units.

---

2.
Compound: Y2MgNi2
Source: the Alexandria database
Functional: PBE-GGA
Structure: relaxed

Structure (POSCAR):
```
Y2MgNi2
1.0
1.9930 -7.1811 0.0000
1.9930 7.1811 0.0000
0.0000 0.0000 3.6826
Y Mg Ni
2 1 2
direct
0.1412 0.8588 0.0000
0.8588 0.1412 0.0000
0.5000 0.5000 0.5000
0.3005 0.6995 0.5000
0.6995 0.3005 0.5000
```

Its mass density is 5.0 Mg/m³. The calculation puts the energy of formation at -0.374 eV per atom. Its magnetic moment is 0.0 μB/cell. Its final energy is -0.20548 Ha/atom.

---

3.
Compound: Pr4As2SeS
Source: the Alexandria database
Functional: PBE-GGA
Structure: relaxed

Structure (POSCAR):
```
Pr4As2SeS
1.0
-4.2463 4.2637 6.0172
4.2463 -4.2637 6.0172
4.2463 4.2637 -6.0172
Pr As Se S
8 4 2 2
direct
0.2531 0.2534 0.5003
0.2531 0.7527 0.9997
0.2560 0.7497 0.5063
0.2565 0.2503 0.0063
0.7435 0.7497 0.9937
0.7440 0.2503 0.4937
0.7469 0.2473 0.0003
0.7469 0.7466 0.4997
0.0000 0.0000 0.0000
0.5000 0.0000 0.0000
0.5000 0.0000 0.5000
0.5000 0.5000 0.5000
0.0000 0.0000 0.5000
0.0000 0.5000 0.0000
0.0000 0.5000 0.5000
0.5000 0.5000 0.0000
```

Its mass density is 6.3 Mg/m³. Its magnetic moment is 0.0 μB/cell. Its final energy is -0.23001 Ha/atom. For the uncorrected formation energy, the calculation gives -1355 kJ/mol of formula units.

---

Which of these has the highest magnetic moment? NaGa11O18

---

Number 3 is which compound? Pr4As2SeS

---

What did the third record say?
Compound: Pr4As2SeS
Source: the Alexandria database
Functional: PBE-GGA
Structure: relaxed

Structure (POSCAR):
```
Pr4As2SeS
1.0
-4.2463 4.2637 6.0172
4.2463 -4.2637 6.0172
4.2463 4.2637 -6.0172
Pr As Se S
8 4 2 2
direct
0.2531 0.2534 0.5003
0.2531 0.7527 0.9997
0.2560 0.7497 0.5063
0.2565 0.2503 0.0063
0.7435 0.7497 0.9937
0.7440 0.2503 0.4937
0.7469 0.2473 0.0003
0.7469 0.7466 0.4997
0.0000 0.0000 0.0000
0.5000 0.0000 0.0000
0.5000 0.0000 0.5000
0.5000 0.5000 0.5000
0.0000 0.0000 0.5000
0.0000 0.5000 0.0000
0.0000 0.5000 0.5000
0.5000 0.5000 0.0000
```

Its mass density is 6.3 Mg/m³. Its magnetic moment is 0.0 μB/cell. Its final energy is -0.23001 Ha/atom. For the uncorrected formation energy, the calculation gives -1355 kJ/mol of formula units.

---

Look up the mass density of the first one. 5.3 Mg/m³